Entry 1:
## BeTcPHCl (GGA-PBE)

Data for an optimized crystal structure of BeTcPHCl.

Cell and atoms, written as POSCAR:
```
BeTcPHCl
1.0
-0.1847 -0.1576 3.1387
2.0473 -2.4065 -0.0004
5.1901 6.4309 -0.9185
Tc Cl H P Be
1 1 1 1 1
Cartesian
6.1294 4.2601 1.8454
4.7731 1.0277 0.0251
4.8494 3.1785 1.7144
0.6754 -0.3206 1.2625
4.7174 3.0519 0.1205
```

Computed properties:
Energy relative to the lowest polymorph listed for this composition (meV per atom): 0

Entry 2:
## LaMn9P4 (GGA-PBE)

Data for an optimized crystal structure of LaMn9P4.

Cell and atoms, written as POSCAR:
```
LaMn9P4
1.0
-1.8888 2.1197 -7.1130
-6.9141 -3.1714 0.8909
2.3356 5.6093 5.1745
Mn La P
18 2 8
Cartesian
-5.2078 -0.3288 -4.4038
-0.9444 1.0598 -3.5565
-3.4570 -1.5857 0.4455
-4.8356 -0.4767 2.2084
-3.5951 -0.7229 -1.8183
-2.9314 3.6659 -1.1859
-7.3679 -0.5868 -5.9306
-3.6558 1.8406 2.5857
-3.2111 0.2135 -3.7408
-5.9325 1.5686 0.9764
-6.8249 -2.5636 -0.5172
-1.6317 5.0344 -3.2560
-2.8115 2.7170 -3.6333
-5.5918 -1.2652 -2.4813
-1.9779 1.5119 -5.7049
-3.5359 0.8917 0.1383
-1.4350 -0.4648 -0.2915
-0.5348 2.9890 -2.0240
-5.4344 2.0159 -2.0793
-1.0329 2.5418 1.0317
-2.0404 2.5359 4.0595
-4.1594 3.0570 0.6544
-5.4441 -0.4451 -0.0481
-2.3079 1.5007 -1.7020
-7.5631 0.0760 -3.4533
1.0958 4.4817 2.4057
-4.4269 2.0217 -5.1071
-1.0232 5.0028 -0.9995
```

Computed properties:
Formation energy from the elements (eV/atom): -0.45

These records have energy values of -0.3929 -0.6059 Ry per atom, in the order they appear.
These records have calculated density values of 3.63 7.31 g cm⁻³, in the order they appear.